! Tm3Cd3Cu2 | Alexandria | PBE-GGA | optimized geometry; values from VASP
&SYSTEM
  ibrav = 0, nat = 8, ntyp = 3
/
ATOMIC_SPECIES
Cu 63.55 Cu.upf
Tm 168.93 Tm.upf
Cd 112.41 Cd.upf
CELL_PARAMETERS angstrom
-1.155 -3.300 1.166
-2.990 -1.316 -6.688
7.041 -1.976 1.383
ATOMIC_POSITIONS crystal
Cu 0.000 0.667 0.333
Cu 0.000 0.333 0.667
Tm 0.500 0.581 0.000
Tm 0.500 0.419 0.419
Tm 0.500 0.000 0.581
Cd 0.000 0.000 0.233
Cd 0.000 0.767 0.767
Cd 0.000 0.233 0.000
! **Energy relative to the elements**: -291 meV/atom
! **SG**: P-62m (189)


! CdHg2Sb | Alexandria | PBE-GGA | optimized geometry; values from VASP
&SYSTEM
  ibrav = 0, nat = 4, ntyp = 3
/
ATOMIC_SPECIES
Hg 200.59 Hg.upf
Cd 112.41 Cd.upf
Sb 121.76 Sb.upf
CELL_PARAMETERS angstrom
3.339 0.016 0.000
-0.815 3.238 0.000
0.000 0.000 9.609
ATOMIC_POSITIONS crystal
Hg 0.500 0.500 0.240
Hg 0.000 0.000 0.989
Cd 0.500 0.500 0.756
Sb 0.000 0.000 0.515
! **Energy above the most stable polymorph in this dataset**: 62 meV/atom
! **ΔE_f (raw)**: 97 meV/atom
! **SG**: Cmm2 (35)


! Sr4Cu2O | Alexandria | PBE-GGA | optimized geometry; values from VASP
&SYSTEM
  ibrav = 0, nat = 7, ntyp = 3
/
ATOMIC_SPECIES
Sr 87.62 Sr.upf
O 16.00 O.upf
Cu 63.55 Cu.upf
CELL_PARAMETERS angstrom
4.976 0.000 0.000
0.000 4.976 0.000
-2.488 -2.488 8.146
ATOMIC_POSITIONS crystal
Sr 0.177 0.177 0.354
Sr 0.823 0.823 0.646
Sr 0.500 0.000 0.000
Sr 0.000 0.500 0.000
O 0.000 0.000 0.000
Cu 0.631 0.631 0.262
Cu 0.369 0.369 0.738
! **ΔE_f (raw)**: -713 meV/atom
! **SG**: I4/mmm (139)


! Ce2HfP3Ir4 | Alexandria | PBE-GGA | optimized geometry; values from VASP
&SYSTEM
  ibrav = 0, nat = 10, ntyp = 4
/
ATOMIC_SPECIES
Ir 192.22 Ir.upf
P 30.97 P.upf
Hf 178.49 Hf.upf
Ce 140.12 Ce.upf
CELL_PARAMETERS angstrom
4.036 0.000 0.000
0.000 4.036 0.000
0.000 0.000 10.782
ATOMIC_POSITIONS crystal
Ir 0.500 0.500 0.000
Ir 0.500 0.000 0.653
Ir 0.000 0.000 0.000
Ir 0.000 0.500 0.347
P 0.000 0.500 0.130
P 0.000 0.000 0.500
P 0.500 0.000 0.870
Hf 0.500 0.500 0.500
Ce 0.000 0.500 0.769
Ce 0.500 0.000 0.231
! **Energy relative to the elements**: -980 meV/atom
! **SG**: P-4m2 (115)


! PuHgGe | Alexandria | PBE-GGA | optimized geometry; values from VASP
&SYSTEM
  ibrav = 0, nat = 6, ntyp = 3
/
ATOMIC_SPECIES
Hg 200.59 Hg.upf
Ge 72.64 Ge.upf
Pu 244.00 Pu.upf
CELL_PARAMETERS angstrom
-0.887 -1.717 -3.414
-3.322 -1.386 1.560
-2.499 9.456 -1.852
ATOMIC_POSITIONS crystal
Hg 0.706 0.706 0.413
Hg 0.294 0.294 0.587
Ge 0.500 0.000 0.000
Ge 0.000 0.500 0.000
Pu 0.883 0.883 0.767
Pu 0.117 0.117 0.233
! **Energy relative to the elements**: -147 meV/atom
! **SG**: I4/mmm (139)


! La3Tl2I2 | Alexandria | PBE-GGA | optimized geometry; values from VASP
&SYSTEM
  ibrav = 0, nat = 7, ntyp = 3
/
ATOMIC_SPECIES
Tl 204.38 Tl.upf
I 126.90 I.upf
La 138.91 La.upf
CELL_PARAMETERS angstrom
-1.833 -0.499 4.244
-2.083 -4.384 -3.962
8.765 -3.148 3.403
ATOMIC_POSITIONS crystal
Tl 0.331 0.661 0.076
Tl 0.669 0.339 0.924
I 0.897 0.796 0.645
I 0.103 0.204 0.355
La 0.207 0.415 0.713
La 0.793 0.585 0.287
La 0.000 0.000 0.000
! **ΔE_f (raw)**: -735 meV/atom
! **SG**: P-1 (2)